Here is an optimized crystal structure of LuCuBiIr from OQMD. Energies are from GGA-PBE.

Cell: 6.8029 6.8029 6.8029 Å, 90.00 90.00 90.00°
With the nearest neighbours (Å) after each atom.
Element x y z (fractional)
Lu 0.0000 0.0000 0.0000  4 Ir 2.95, 4 Bi 2.95
Lu 0.0000 0.5000 0.5000  4 Ir 2.95, 4 Bi 2.95
Lu 0.5000 0.0000 0.5000  4 Ir 2.95, 4 Bi 2.95
Lu 0.5000 0.5000 0.0000  4 Ir 2.95, 4 Bi 2.95
Cu 0.0000 0.0000 0.5000  4 Bi 2.95, 4 Ir 2.95
Cu 0.0000 0.5000 0.0000  4 Bi 2.95, 4 Ir 2.95
Cu 0.5000 0.0000 0.0000  4 Bi 2.95, 4 Ir 2.95
Cu 0.5000 0.5000 0.5000  4 Bi 2.95, 4 Ir 2.95
Bi 0.2500 0.2500 0.2500  4 Cu 2.95, 4 Lu 2.95
Bi 0.2500 0.7500 0.7500  4 Cu 2.95, 4 Lu 2.95
Bi 0.7500 0.2500 0.7500  4 Cu 2.95, 4 Lu 2.95
Bi 0.7500 0.7500 0.2500  4 Cu 2.95, 4 Lu 2.95
Ir 0.2500 0.2500 0.7500  4 Cu 2.95, 4 Lu 2.95
Ir 0.2500 0.7500 0.2500  4 Cu 2.95, 4 Lu 2.95
Ir 0.7500 0.2500 0.2500  4 Cu 2.95, 4 Lu 2.95
Ir 0.7500 0.7500 0.7500  4 Cu 2.95, 4 Lu 2.95

Results
* polymorph energy (0 for the lowest one): 230 meV per atom